# Gd3TlS

A relaxed Gd3TlS crystal (PBE, Alexandria via LeMat-Bulk).

## Properties
Theoretical density (g/cm³): 8.180
M_tot (μB/f.u.): 21.2
E_form (uncorrected) (meV/atom): -845
Crystal system: cubic

Cell: 5.239 5.239 5.239 Å, 90.00 90.00 90.00°
Site moments in Bohr magnetons follow the coordinates.
Positions (direct):
Tl: 0.500 0.500 0.500  -0.05
Gd: 0.000 0.500 0.000  6.98
Gd: 0.000 0.000 0.500  6.98
Gd: 0.500 0.000 0.000  6.98
S: 0.000 0.000 0.000  -0.04